Entry 1:
First-principles (PBE) data for an optimized crystal structure of Ta5Nb2W4, as listed in Alexandria via LeMat-Bulk.

Values from the calculation:
- energy of formation from the pure elements (kJ/mol of formula units) = 238
- SG = Pbam
- E (eV/cell) = -257.507
- theoretical density (g/cm3) = 15.34

Lattice parameters (Å, degrees): 7.174 17.020 3.238 90.00 90.00 90.00
Positions (direct):
Ta (0.000, 0.000, 0.000)
Ta (0.099, 0.415, 0.000)
Ta (0.203, 0.170, 0.000)
Ta (0.297, 0.670, 0.000)
Ta (0.401, 0.915, 0.000)
Ta (0.500, 0.500, 0.000)
Ta (0.599, 0.085, 0.000)
Ta (0.703, 0.330, 0.000)
Ta (0.797, 0.830, 0.000)
Ta (0.901, 0.585, 0.000)
Nb (0.016, 0.282, 0.500)
Nb (0.484, 0.782, 0.500)
Nb (0.516, 0.218, 0.500)
Nb (0.984, 0.718, 0.500)
W (0.101, 0.867, 0.500)
W (0.204, 0.543, 0.500)
W (0.296, 0.043, 0.500)
W (0.399, 0.367, 0.500)
W (0.601, 0.633, 0.500)
W (0.704, 0.957, 0.500)
W (0.796, 0.457, 0.500)
W (0.899, 0.133, 0.500)



Entry 2:
First-principles (PBE) data for an optimized crystal structure of CaPrTl4, as listed in Alexandria via LeMat-Bulk.

Values from the calculation:
- energy of formation from the pure elements (kJ/mol of formula units) = -87
- SG = F-43m
- E (eV/cell) = -17.153
- theoretical density (g/cm3) = 9.27

Lattice parameters (Å, degrees): 6.325 6.325 6.325 60.00 60.00 60.00
Positions (direct):
Ca (0.000, 0.000, 0.000)
Pr (0.750, 0.750, 0.750)
Tl (0.375, 0.375, 0.375)
Tl (0.375, 0.375, 0.874)
Tl (0.375, 0.874, 0.375)
Tl (0.874, 0.375, 0.375)



Entry 3:
First-principles (PBE) data for an optimized crystal structure of Ca3BiIr, as listed in Alexandria via LeMat-Bulk.

Values from the calculation:
- energy of formation from the pure elements (kJ/mol of formula units) = 248
- SG = Pm-3m
- E (eV/cell) = -16.174
- theoretical density (g/cm3) = 4.48

Lattice parameters (Å, degrees): 5.784 5.784 5.784 90.00 90.00 90.00
Positions (direct):
Ca (0.000, 0.000, 0.500)
Ca (0.000, 0.500, 0.000)
Ca (0.500, 0.000, 0.000)
Bi (0.000, 0.000, 0.000)
Ir (0.500, 0.500, 0.500)



Entry 4:
First-principles (PBE) data for an optimized crystal structure of BaReSb2, as listed in Alexandria via LeMat-Bulk.

Values from the calculation:
- SG = Cmmm
- uncorrected formation energy (kJ/mol of formula units) = 270
- E (eV/cell) = -19.814
- theoretical density (g/cm3) = 8.62

Lattice parameters (Å, degrees): 5.066 5.066 4.326 90.00 90.00 100.30
Positions (direct):
Ba (0.000, 0.000, 0.000)
Re (0.500, 0.500, 0.000)
Sb (0.000, 0.500, 0.500)
Sb (0.500, 0.000, 0.500)



Entry 5:
First-principles (PBE) data for an optimized crystal structure of Ac6NdDy2, as listed in Alexandria via LeMat-Bulk.

Values from the calculation:
- energy of formation from the pure elements (kJ/mol of formula units) = 141
- SG = C2/c
- E (eV/cell) = -74.327
- theoretical density (g/cm3) = 8.04

Lattice parameters (Å, degrees): 9.321 9.321 10.087 98.54 98.54 61.23
Positions (direct):
Ac (0.084, 0.644, 0.482)
Ac (0.096, 0.703, 0.873)
Ac (0.297, 0.904, 0.627)
Ac (0.315, 0.446, 0.167)
Ac (0.356, 0.916, 0.018)
Ac (0.446, 0.315, 0.667)
Ac (0.554, 0.685, 0.333)
Ac (0.644, 0.084, 0.982)
Ac (0.685, 0.554, 0.833)
Ac (0.703, 0.096, 0.373)
Ac (0.904, 0.297, 0.127)
Ac (0.916, 0.356, 0.518)
Nd (0.101, 0.899, 0.250)
Nd (0.899, 0.101, 0.750)
Dy (0.140, 0.296, 0.851)
Dy (0.296, 0.140, 0.351)
Dy (0.704, 0.860, 0.649)
Dy (0.860, 0.704, 0.149)



Entry 6:
First-principles (PBE) data for an optimized crystal structure of YSbW2, as listed in Alexandria via LeMat-Bulk.

Values from the calculation:
- SG = R3m
- uncorrected formation energy (kJ/mol of formula units) = 145
- E (eV/cell) = -34.991
- theoretical density (g/cm3) = 11.14

Lattice parameters (Å, degrees): 9.256 9.256 9.256 20.64 20.64 20.64
Positions (direct):
Y (0.000, 0.000, 0.000)
Sb (0.767, 0.767, 0.767)
W (0.245, 0.245, 0.245)
W (0.513, 0.513, 0.513)